Ta4PbAuN2 after structural relaxation, computed with PBE-GGA.

a = 3.246 Å, b = 3.246 Å, c = 13.610 Å
α = 90.00°, β = 90.00°, γ = 120.00°
Positions (direct):
Au 0.333 0.667 0.500
Ta 0.333 0.667 0.823
Ta 0.333 0.667 0.177
Ta 0.667 0.333 0.339
Ta 0.667 0.333 0.661
N 0.000 0.000 0.259
N 0.000 0.000 0.741
Pb 0.667 0.333 0.000

final energy	-0.33931	hartree per atom
calculated volume	124.2	Å³ per cell
SG	P-6m2


PbW4AuN2 after structural relaxation, computed with PBE-GGA.

a = 2.918 Å, b = 2.918 Å, c = 15.882 Å
α = 90.00°, β = 90.00°, γ = 120.00°
Positions (direct):
W 0.000 0.000 0.675
W 0.667 0.333 0.150
W 0.667 0.333 0.850
W 0.000 0.000 0.325
Au 0.000 0.000 0.000
Pb 0.667 0.333 0.500
N 0.333 0.667 0.239
N 0.333 0.667 0.761

relative energy among the computed polymorphs	0	meV/atom
calculated volume	117.1	Å³ per cell
SG	P-6m2


Zr4PbAuN2 after structural relaxation, computed with PBE-GGA.

a = 3.332 Å, b = 3.332 Å, c = 14.426 Å
α = 90.00°, β = 90.00°, γ = 120.00°
Positions (direct):
Pb 0.000 0.000 0.500
Zr 0.667 0.333 0.328
Zr 0.667 0.333 0.672
Zr 0.000 0.000 0.155
Zr 0.000 0.000 0.845
Au 0.667 0.333 0.000
N 0.333 0.667 0.240
N 0.333 0.667 0.760

final energy	-0.30300	hartree per atom
calculated volume	138.7	Å³ per cell
SG	P-6m2